[1]
The following is a DFT calculation (PBE) of crystalline Pt2OF2 at its relaxed geometry.

The calculation puts the density at 7.853 g/cm³. For the excess energy over the best structure of this formula in the dataset, the calculation gives 0.00 eV/f.u. For the total energy, the calculation gives -94.13 eV per cell.

a b c (Å): 6.1640 6.1640 9.8880
angles (deg): 90.00 90.00 90.00
Space group I4_1/amd (No. 141, origin choice 2)
Asymmetric unit:
Pt 0.0000 0.0000 0.0000
O 0.0000 0.2500 0.8750
F 0.0000 0.2500 0.1374



[2]
The following is a DFT calculation (PBE) of crystalline PtOF2 at its relaxed geometry.

The calculation puts the density at 9.002 g/cm³. For the excess energy over the best structure of this formula in the dataset, the calculation gives 0.27 eV/f.u. For the total energy, the calculation gives -214.52 eV per cell.

a b c (Å): 12.5598 14.2404 3.0825
angles (deg): 90.00 90.00 90.00
Space group Pbam (No. 55)
Asymmetric unit:
Pt 0.0708 0.1924 0.0000
Pt 0.0969 0.6834 0.5000
Pt 0.2477 0.4268 0.0000
O 0.0720 0.2820 0.5000
O 0.0869 0.7733 0.0000
O 0.2458 0.8418 0.5000
F 0.0619 0.0999 0.5000
F 0.0940 0.4170 0.0000
F 0.0971 0.5909 0.0000
F 0.1012 0.9530 0.0000
F 0.2266 0.1721 0.0000
F 0.2400 0.5202 0.5000



[3]
The following is a DFT calculation (PBE) of crystalline PtOF2 at its relaxed geometry.

The calculation puts the density at 8.834 g/cm³. For the excess energy over the best structure of this formula in the dataset, the calculation gives 0.81 eV/f.u. For the total energy, the calculation gives -69.37 eV per cell.

a b c (Å): 9.8208 3.7099 5.6450
angles (deg): 90.00 114.42 90.00
Space group C2/m (No. 12)
Asymmetric unit:
Pt 0.0433 0.0000 0.3190
O 0.0200 0.5000 0.2797
F 0.1370 0.0000 0.0291
F 0.2200 0.0000 0.6385



[4]
The following is a DFT calculation (PBE) of crystalline Pt2OF2 at its relaxed geometry.

The calculation puts the density at 12.371 g/cm³. For the excess energy over the best structure of this formula in the dataset, the calculation gives 2.34 eV/f.u. For the total energy, the calculation gives -84.76 eV per cell.

a b c (Å): 6.8776 6.8776 5.0416
angles (deg): 90.00 90.00 90.00
Space group P4_2/nmc (No. 137, origin choice 2)
Asymmetric unit:
Pt 0.0134 0.7500 0.1070
O 0.2500 0.2500 0.0801
F 0.0759 0.5759 0.7500



[5]
The following is a DFT calculation (PBE) of crystalline PtOF2 at its relaxed geometry.

The calculation puts the density at 9.347 g/cm³. For the excess energy over the best structure of this formula in the dataset, the calculation gives 0.00 eV/f.u. For the total energy, the calculation gives -72.60 eV per cell.

a b c (Å): 4.9046 7.2306 4.9913
angles (deg): 90.00 90.00 90.00
Space group Pca2_1 (No. 29)
Asymmetric unit:
Pt 0.0077 0.1665 0.0000
O 0.1362 0.0797 0.3590
F 0.1586 0.3956 0.1219
F 0.1639 0.7255 0.1689



[6]
The following is a DFT calculation (PBE) of crystalline Rb3ReO3F3 at its relaxed geometry.

The calculation puts the density at 5.045 g/cm³. For the total energy, the calculation gives -172.49 eV per cell.

a b c (Å): 6.4028 6.4028 15.2314
angles (deg): 90.00 90.00 120.00
Space group R3 (No. 146, hexagonal axes)
Asymmetric unit:
Rb 0.0000 0.0000 0.0000
Rb 0.0000 0.0000 0.2469
Rb 0.0000 0.0000 0.7418
Re 0.0000 0.0000 0.4877
O 0.1219 0.3853 0.1046
F 0.0597 0.6035 0.2452



[7]
The following is a DFT calculation (PBE) of crystalline Rb2Zr3OF12 at its relaxed geometry.

The calculation puts the density at 4.658 g/cm³. For the total energy, the calculation gives -709.07 eV per cell.

a b c (Å): 7.6729 7.6729 28.8855
angles (deg): 90.00 90.00 120.00
Space group R-3m (No. 166, hexagonal axes)
Asymmetric unit:
Rb 0.0000 0.0000 0.0000
Rb 0.0000 0.0000 0.1358
Rb 0.0000 0.0000 0.5000
Zr 0.0307 0.5154 0.9375
O 0.0000 0.0000 0.2878
F 0.0000 0.3487 0.0000
F 0.0097 0.5048 0.5897
F 0.0487 0.5244 0.8683
F 0.1069 0.5534 0.2576



[8]
The following is a DFT calculation (PBE) of crystalline ReOF2 at its relaxed geometry.

The calculation puts the density at 8.558 g/cm³. For the excess energy over the best structure of this formula in the dataset, the calculation gives 0.53 eV/f.u. For the total energy, the calculation gives -55.05 eV per cell.

a b c (Å): 2.6882 3.7299 9.2966
angles (deg): 90.00 90.00 90.00
Space group Immm (No. 71)
Asymmetric unit:
Re 0.0000 0.0000 0.0000
O 0.0000 0.5000 0.0000
F 0.0000 0.5000 0.3322



[9]
The following is a DFT calculation (PBE) of crystalline ReO2F3 at its relaxed geometry.

The calculation puts the density at 6.609 g/cm³. For the excess energy over the best structure of this formula in the dataset, the calculation gives 0.22 eV/f.u. For the total energy, the calculation gives -155.71 eV per cell.

a b c (Å): 5.1000 4.6420 11.7918
angles (deg): 90.00 97.77 90.00
Space group P2_1/c (No. 14)
Asymmetric unit:
Re 0.1864 0.2164 0.3713
O 0.2487 0.0890 0.9944
O 0.3546 0.5942 0.9044
F 0.0509 0.0519 0.2067
F 0.1475 0.5841 0.1055
F 0.4303 0.1104 0.7906



[10]
The following is a DFT calculation (PBE) of crystalline ReOF2 at its relaxed geometry.

The calculation puts the density at 8.518 g/cm³. For the excess energy over the best structure of this formula in the dataset, the calculation gives 0.52 eV/f.u. For the total energy, the calculation gives -55.06 eV per cell.

a b c (Å): 9.7065 3.7047 2.6988
angles (deg): 90.00 105.21 90.00
Space group C2/m (No. 12)
Asymmetric unit:
Re 0.0000 0.0000 0.0000
O 0.0000 0.5000 0.0000
F 0.1664 0.0000 0.6570



[11]
The following is a DFT calculation (PBE) of crystalline ReOF2 at its relaxed geometry.

The calculation puts the density at 9.140 g/cm³. For the excess energy over the best structure of this formula in the dataset, the calculation gives 0.61 eV/f.u. For the total energy, the calculation gives -109.75 eV per cell.

a b c (Å): 4.6444 7.1560 5.3860
angles (deg): 90.00 102.80 90.00
Space group P2_1 (No. 4)
Asymmetric unit:
Re 0.0338 0.0000 0.1054
Re 0.4515 0.2537 0.2927
O 0.1465 0.2387 0.9772
O 0.2663 0.5924 0.7591
F 0.1896 0.4952 0.2718
F 0.1992 0.8717 0.4395
F 0.3389 0.1989 0.6021
F 0.3690 0.9051 0.9541



[12]
The following is a DFT calculation (PBE) of crystalline ReOF2 at its relaxed geometry.

The calculation puts the density at 9.003 g/cm³. For the excess energy over the best structure of this formula in the dataset, the calculation gives 0.92 eV/f.u. For the total energy, the calculation gives -108.55 eV per cell.

a b c (Å): 4.4214 6.7720 5.9184
angles (deg): 90.00 90.00 90.00
Space group Pca2_1 (No. 29)
Asymmetric unit:
Re 0.0036 0.1367 0.0000
O 0.1326 0.0920 0.3158
F 0.1534 0.3928 0.0412
F 0.1635 0.7412 0.2032